Entry 1:
# ErBiH, optimized geometry, DFT PBE
data_ErBiH
_chemical_formula_sum 'Er4 Bi4 H4'
_cell_length_a 6.791
_cell_length_b 6.267
_cell_length_c 6.426
_cell_angle_alpha 90.00
_cell_angle_beta 90.00
_cell_angle_gamma 90.00
_space_group_name_H-M_alt 'P n m a'
_space_group_IT_number 62
loop_
_space_group_symop_operation_xyz
'x,y,z'
'-x,-y,-z'
'-x+1/2,-y,z+1/2'
'x+1/2,y,-z+1/2'
'x+1/2,-y+1/2,-z+1/2'
'-x+1/2,y+1/2,z+1/2'
'-x,y+1/2,-z'
'x,-y+1/2,z'
loop_
_atom_site_label
_atom_site_type_symbol
_atom_site_fract_x
_atom_site_fract_y
_atom_site_fract_z
Er1 Er 0.165 0.250 0.138
Bi1 Bi 0.241 0.750 0.157
H1 H 0.040 0.750 0.638
# D(E_F): 0.37 states/eV/atom
# electronic total energy: -52.1 eV per cell
# total moment: 0.0 μB/f.u.

Entry 2:
# Er5Bi2H, optimized geometry, DFT PBE
data_Er5Bi2H
_chemical_formula_sum 'Er10 Bi4 H2'
_cell_length_a 6.943
_cell_length_b 6.943
_cell_length_c 8.899
_cell_angle_alpha 90.00
_cell_angle_beta 90.00
_cell_angle_gamma 90.00
_space_group_name_H-M_alt 'I 4 m m'
_space_group_IT_number 107
_space_group_name_Hall 'I 4 -2'
loop_
_atom_site_label
_atom_site_type_symbol
_atom_site_fract_x
_atom_site_fract_y
_atom_site_fract_z
Er1 Er 0.000 0.000 0.000
Er2 Er 0.250 0.250 0.246
Bi1 Bi 0.000 0.500 0.496
H1 H 0.000 0.000 0.251
# D(E_F): 1.01 states/eV/atom
# electronic total energy: -73.1 eV per cell
# total moment: 0.0 μB/f.u.

Entry 3:
# Er4Bi3H2, optimized geometry, DFT PBE
data_Er4Bi3H2
_chemical_formula_sum 'Er16 Bi12 H8'
_cell_length_a 12.305
_cell_length_b 9.878
_cell_length_c 7.395
_cell_angle_alpha 90.00
_cell_angle_beta 101.71
_cell_angle_gamma 90.00
_space_group_name_H-M_alt 'C 1 2/c 1'
_space_group_IT_number 15
loop_
_space_group_symop_operation_xyz
'x,y,z'
'-x,-y,-z'
'-x,y,-z+1/2'
'x,-y,z+1/2'
'x+1/2,y+1/2,z'
'-x+1/2,-y+1/2,-z'
'-x+1/2,y+1/2,-z+1/2'
'x+1/2,-y+1/2,z+1/2'
loop_
_atom_site_label
_atom_site_type_symbol
_atom_site_fract_x
_atom_site_fract_y
_atom_site_fract_z
Er1 Er 0.112 0.184 0.006
Er2 Er 0.168 0.441 0.622
Bi1 Bi 0.000 0.375 0.250
Bi2 Bi 0.148 0.121 0.615
H1 H 0.199 0.369 0.935
# D(E_F): 0.27 states/eV/atom
# electronic total energy: -168.9 eV per cell
# total moment: 0.0 μB/f.u.